Compound: Ac5NiC4
Source: the Alexandria database
Functional: PBE
Structure: relaxed

Cell lengths 5.9728, 6.9319, 6.9319 Å; angles 79.30, 64.48, 64.48 degrees
Sites, in units of the cell vectors:
Ac 0.3150 0.5702 0.7962
Ac 0.1112 0.2038 0.5702
Ac 0.8852 0.7962 0.4298
Ac 0.6814 0.4298 0.2038
Ac 0.4993 0.0000 0.0000
Ni 0.9991 0.0000 0.0000
C 0.8016 0.5946 0.8015
C 0.6031 0.1985 0.5946
C 0.3962 0.8015 0.4054
C 0.1977 0.4054 0.1985

Properties
total magnetic moment	0.00	μB/f.u.
DFT total energy	-59.24	eV for the cell shown
DOS at the Fermi energy	7.9	states/eV/f.u.